No. 1
This record from Alexandria via LeMat-Bulk describes a geometry-optimized CsPmPaS4 structure. The functional is PBE.

Values from the calculation:
E = -0.453 Ry per atom
raw formation energy = -1643 meV/atom

a = 8.5452 Å, b = 8.8810 Å, c = 12.2372 Å
α = 90.00°, β = 90.00°, γ = 90.00°
Space group Imma (No. 74)
Unique sites:
Cs 0.0000 0.2500 0.1322 (multiplicity 4)
Pm 0.0000 0.0000 0.5000 (multiplicity 4)
Pa 0.2500 0.2500 0.7500 (multiplicity 4)
S 0.0000 0.0552 0.7316 (multiplicity 8)
S 0.2090 0.2500 0.5292 (multiplicity 8)



No. 2
This record from Alexandria via LeMat-Bulk describes a geometry-optimized Tb3Y structure. The functional is PBE.

Values from the calculation:
E = -0.373 Ry per atom
relative energy among the computed polymorphs = 0.001 eV per atom
energy relative to the elements = 10 meV per atom

a = 3.6411 Å, b = 11.3561 Å, c = 6.2949 Å
α = 90.00°, β = 90.00°, γ = 90.00°
Space group Imm2 (No. 44)
Unique sites:
Tb 0.0000 0.0000 0.0000 (multiplicity 2)
Tb 0.0000 0.2505 0.6679 (multiplicity 4)
Y 0.0000 0.5000 0.0003 (multiplicity 2)



No. 3
This record from Alexandria via LeMat-Bulk describes a geometry-optimized CsLi2MgGe structure. The functional is PBE.

Values from the calculation:
E = -0.164 Ry per atom
energy relative to the elements = -49 meV per atom

a = 5.3621 Å, b = 5.3621 Å, c = 5.3404 Å
α = 90.00°, β = 90.00°, γ = 90.00°
Space group P4/mmm (No. 123)
Unique sites:
Cs 0.0000 0.0000 0.0000 (multiplicity 1)
Li 0.0000 0.5000 0.5000 (multiplicity 2)
Mg 0.5000 0.5000 0.0000 (multiplicity 1)
Ge 0.5000 0.5000 0.5000 (multiplicity 1)



No. 4
This record from Alexandria via LeMat-Bulk describes a geometry-optimized MgTl2NiHg structure. The functional is PBE.

Values from the calculation:
E = -0.180 Ry per atom
energy relative to the elements = 35 meV per atom

a = 5.0731 Å, b = 5.0731 Å, c = 5.0588 Å
α = 90.00°, β = 90.00°, γ = 90.00°
Space group P4/mmm (No. 123)
Unique sites:
Mg 0.0000 0.0000 0.0000 (multiplicity 1)
Tl 0.0000 0.5000 0.5000 (multiplicity 2)
Ni 0.0000 0.0000 0.5000 (multiplicity 1)
Hg 0.5000 0.5000 0.0000 (multiplicity 1)



No. 5
This record from Alexandria via LeMat-Bulk describes a geometry-optimized SrLi2Ge structure. The functional is PBE.

Values from the calculation:
E = -0.213 Ry per atom
energy relative to the elements = -365 meV per atom

a = 4.6664 Å, b = 7.3622 Å, c = 6.0777 Å
α = 90.00°, β = 112.33°, γ = 90.00°
Space group P2_1/m (No. 11)
Unique sites:
Sr 0.0823 0.2500 0.1616 (multiplicity 2)
Li 0.3290 0.0619 0.6594 (multiplicity 4)
Ge 0.1997 0.7500 0.3982 (multiplicity 2)



No. 6
This record from Alexandria via LeMat-Bulk describes a geometry-optimized MnTe2Rh structure. The functional is PBE.

Values from the calculation:
E = -0.424 Ry per atom
raw formation energy = -65 meV/atom

a = 3.9394 Å, b = 3.9394 Å, c = 5.5543 Å
α = 90.00°, β = 90.00°, γ = 90.00°
Space group P4/mmm (No. 123)
Unique sites:
Mn 0.0000 0.0000 0.0000 (multiplicity 1)
Te 0.0000 0.0000 0.5000 (multiplicity 1)
Te 0.5000 0.5000 0.0000 (multiplicity 1)
Rh 0.5000 0.5000 0.5000 (multiplicity 1)



No. 7
This record from Alexandria via LeMat-Bulk describes a geometry-optimized LiSc2Re structure. The functional is PBE.

Values from the calculation:
E = -0.408 Ry per atom
energy relative to the elements = 1208 meV per atom

a = 7.5294 Å, b = 7.5294 Å, c = 11.5774 Å
α = 90.00°, β = 90.00°, γ = 90.00°
Space group I-42d (No. 122)
Unique sites:
Li 0.0000 0.0000 0.0000 (multiplicity 4)
Sc 0.0022 0.7500 0.6250 (multiplicity 8)
Re 0.0000 0.0000 0.5000 (multiplicity 4)



No. 8
This record from Alexandria via LeMat-Bulk describes a geometry-optimized Er2PuGa6 structure. The functional is PBE.

Values from the calculation:
E = -0.378 Ry per atom
relative energy among the computed polymorphs = 0.000 eV per atom
energy relative to the elements = -523 meV per atom

a = 7.7147 Å, b = 7.7147 Å, c = 3.5137 Å
α = 90.00°, β = 90.00°, γ = 120.00°
Space group P6/mmm (No. 191)
Unique sites:
Er 0.3333 0.6667 0.0000 (multiplicity 2)
Pu 0.0000 0.0000 0.0000 (multiplicity 1)
Ga 0.0000 0.3347 0.5000 (multiplicity 6)



No. 9
This record from Alexandria via LeMat-Bulk describes a geometry-optimized Mg2OsCl structure. The functional is PBE.

Values from the calculation:
E = -0.264 Ry per atom
raw formation energy = 470 meV/atom
relative energy among the computed polymorphs = 0.770 eV per atom

a = 6.6854 Å, b = 6.6854 Å, c = 6.6854 Å
α = 90.00°, β = 90.00°, γ = 90.00°
Space group Fm-3m (No. 225)
Unique sites:
Mg 0.2500 0.2500 0.2500 (multiplicity 8)
Os 0.0000 0.0000 0.0000 (multiplicity 4)
Cl 0.0000 0.0000 0.5000 (multiplicity 4)



No. 10
This record from Alexandria via LeMat-Bulk describes a geometry-optimized KPm4Ir3O12 structure. The functional is PBE.

Values from the calculation:
E = -0.535 Ry per atom
raw formation energy = -1966 meV/atom

a = 8.4843 Å, b = 8.4843 Å, c = 8.4843 Å
α = 90.00°, β = 90.00°, γ = 90.00°
Space group Im-3 (No. 204)
Unique sites:
K 0.0000 0.0000 0.0000 (multiplicity 2)
Pm 0.2500 0.2500 0.2500 (multiplicity 8)
Ir 0.0000 0.0000 0.5000 (multiplicity 6)
O 0.0000 0.1545 0.3293 (multiplicity 24)



No. 11
This record from Alexandria via LeMat-Bulk describes a geometry-optimized ErZrHg structure. The functional is PBE.

Values from the calculation:
E = -0.347 Ry per atom
relative energy among the computed polymorphs = 0.000 eV per atom
energy relative to the elements = -248 meV per atom

a = 3.3850 Å, b = 16.7141 Å, c = 5.1547 Å
α = 90.00°, β = 90.00°, γ = 90.00°
Space group Cmcm (No. 63)
Unique sites:
Er 0.0000 0.0987 0.2500 (multiplicity 4)
Zr 0.0000 0.2257 0.7500 (multiplicity 4)
Hg 0.0000 0.4378 0.2500 (multiplicity 4)



No. 12
This record from Alexandria via LeMat-Bulk describes a geometry-optimized RbHf3Cu structure. The functional is PBE.

Values from the calculation:
E = -0.328 Ry per atom
relative energy among the computed polymorphs = 1.506 eV per atom
energy relative to the elements = 2520 meV per atom

a = 4.9869 Å, b = 4.9869 Å, c = 4.9869 Å
α = 90.00°, β = 90.00°, γ = 90.00°
Space group Pm-3m (No. 221)
Unique sites:
Rb 0.0000 0.0000 0.0000 (multiplicity 1)
Hf 0.0000 0.0000 0.5000 (multiplicity 3)
Cu 0.5000 0.5000 0.5000 (multiplicity 1)



> Which of these has the lowest E?

KPm4Ir3O12



> E of number 1 (CsPmPaS4)?

-0.453 Ry per atom